{"formula": "KRb2Te", "functional": "GGA-PBE", "state": "relaxed", "formation_energy_uncorrected_mev_per_atom": -576, "space_group": "No. 166", "cell": [[5.6346, 0.0000, 0.0000], [2.8173, 4.8797, 0.0000], [2.8173, 1.6266, 10.3002]], "species": ["Rb", "K", "Rb", "Te"], "frac_coords": [[0.2861, 0.2861, 0.1418], [0.5000, 0.5000, 0.5000], [0.7139, 0.7139, 0.8582], [0.0000, 0.0000, 0.0000]]}